Compound: ZrTi2Ag
Source: the Alexandria database
Functional: PBE
Structure: optimized geometry

Output
- calculated formation energy (meV per atom) = 35
- polymorph energy (0 for the lowest one) (kJ/mol of formula units) = 0
- V (Å³ per cell) = 75.3
- total energy (eV per atom) = -6.762

Geometry as CIF:
```
data_ZrTi2Ag
_space_group_name_H-M_alt 'P 4/m m m'
_space_group_IT_number 123
_space_group_name_Hall '-P 4 2'
_cell_length_a 3.060
_cell_length_b 3.060
_cell_length_c 8.041
_cell_angle_alpha 90.00
_cell_angle_beta 90.00
_cell_angle_gamma 90.00
loop_
_atom_site_label
_atom_site_fract_x
_atom_site_fract_y
_atom_site_fract_z
Zr1 0.000 0.000 0.000
Ti1 0.500 0.500 0.259
Ag1 0.000 0.000 0.500
```